Ca2EuNi | PBE-GGA | optimized geometry

```
Ca2EuNi
1.0
3.584 0.000 0.000
0.000 3.584 0.000
0.000 0.000 9.538
Ca Eu Ni
2 1 1
Direct
0.000 0.000 0.172 Ca
0.000 0.000 0.828 Ca
0.500 0.500 0.500 Eu
0.500 0.500 0.000 Ni
```

Values from the calculation:
The energy relative to the lowest polymorph listed for this composition is 0 meV/atom. As for the space group: P4/mmm (123). For the formation enthalpy at 0 K, the calculation gives 0.0167 eV/atom. As for the magnetic moment: 7.37 μB per formula unit.